# 1
Material: BaLa2InOs
Method: DFT, PBE
State: optimized geometry

Properties
Formation energy ... -0.131 eV/atom
Energy ... -5.28 eV/atom
Symmetry ... P4/mmm

Cell: 5.598 5.598 5.488 Å, 90.00 90.00 90.00°
Fractional positions:
In  0.000  0.000  0.500
Os  0.000  0.000  0.000
Ba  0.500  0.500  0.500
La  0.000  0.500  0.000
La  0.500  0.000  0.000


# 2
Material: BaLa2InP
Method: DFT, PBE
State: optimized geometry

Properties
Formation energy ... 0.308 eV/atom
Energy ... -3.68 eV/atom
Symmetry ... P4/mmm

Cell: 5.941 6.341 5.941 Å, 90.00 90.00 90.00°
Fractional positions:
P  0.500  0.500  0.500
In  0.000  0.000  0.000
Ba  0.000  0.500  0.000
La  0.000  0.000  0.500
La  0.500  0.000  0.000


# 3
Material: BaLaInPb
Method: DFT, PBE
State: optimized geometry

Properties
Formation energy ... -0.423 eV/atom
Energy ... -3.75 eV/atom
Symmetry ... F-43m

Cell: 5.846 5.846 5.846 Å, 60.00 60.00 60.00°
Fractional positions:
Pb  0.750  0.750  0.750
In  0.250  0.250  0.250
Ba  0.000  0.000  0.000
La  0.500  0.500  0.500


# 4
Material: BaLaPm2In4
Method: DFT, PBE
State: optimized geometry

Properties
Formation energy ... -0.412 eV/atom
Energy ... -3.83 eV/atom
Symmetry ... R-3m

Cell: 5.617 5.617 9.757 Å, 73.27 73.27 60.00°
Fractional positions:
Ba  0.000  0.000  0.000
La  0.500  0.500  0.500
Pm  0.749  0.749  0.753
Pm  0.251  0.251  0.247
In  0.379  0.379  0.864
In  0.872  0.872  0.383
In  0.128  0.128  0.617
In  0.621  0.621  0.136